Record 1
First-principles (PBE) data for CrAgOs after structural relaxation, as listed in Alexandria via LeMat-Bulk.

## Properties
E_tot: -7.57 eV per atom
ΔE to the lowest computed polymorph: 58 meV/atom

a b c (Å): 3.6554 8.8300 2.7678
angles (deg): 90.00 90.00 90.00
Closest atoms and distances in Å follow each position.
Sites, in units of the cell vectors:
Cr 0.0000 0.5789 0.5000  5 Os 2.47-2.53, 4 Cr 2.68
Cr 0.5000 0.4211 0.0000  5 Os 2.47-2.53, 4 Cr 2.68
Os 0.0000 0.2994 0.5000  5 Cr 2.47-2.53
Os 0.5000 0.7006 0.0000  5 Cr 2.47-2.53
Ag 0.0000 0.9031 0.5000  6 Ag 2.77-2.86, 1 Cr 2.86, 4 Os 2.91
Ag 0.5000 0.0969 0.0000  6 Ag 2.77-2.86, 1 Cr 2.86, 4 Os 2.91

---

Record 2
First-principles (PBE) data for CrAgOs after structural relaxation, as listed in Alexandria via LeMat-Bulk.

## Properties
E_tot: -7.27 eV per atom
ΔE to the lowest computed polymorph: 360 meV/atom

a b c (Å): 4.3229 4.3229 2.7175
angles (deg): 90.00 90.00 120.00
Closest atoms and distances in Å follow each position.
Sites, in units of the cell vectors:
Ag 0.0000 0.0000 0.0210  6 Cr 2.70-3.01, 2 Ag 2.72, 6 Os 2.77-2.92
Cr 0.6667 0.3333 0.4023  3 Os 2.54, 3 Ag 2.70, 2 Cr 2.72
Os 0.3333 0.6667 0.5768  3 Cr 2.54, 2 Os 2.72, 3 Ag 2.77

---

Record 3
First-principles (PBE) data for Cr3AgOs after structural relaxation, as listed in Alexandria via LeMat-Bulk.

## Properties
E_tot: -7.34 eV per atom
ΔE to the lowest computed polymorph: 0 meV/atom

a b c (Å): 4.6940 4.6940 4.6940
angles (deg): 90.00 90.00 90.00
Closest atoms and distances in Å follow each position.
Sites, in units of the cell vectors:
Cr 0.0000 0.5000 0.0000  2 Os 2.35
Cr 0.0000 0.0000 0.5000  2 Os 2.35
Cr 0.5000 0.0000 0.0000  2 Os 2.35
Os 0.0000 0.0000 0.0000  6 Cr 2.35
Ag 0.5000 0.5000 0.5000  12 Cr 3.32

---

Record 4
First-principles (PBE) data for CrAgOs after structural relaxation, as listed in Alexandria via LeMat-Bulk.

## Properties
E_tot: -7.53 eV per atom
ΔE to the lowest computed polymorph: 100 meV/atom

a b c (Å): 2.7261 2.7261 6.8791
angles (deg): 90.00 90.00 120.00
Closest atoms and distances in Å follow each position.
Sites, in units of the cell vectors:
Cr 0.3333 0.6667 0.1162  3 Os 2.50, 6 Cr 2.73
Os 0.0000 0.0000 0.8332  3 Cr 2.50, 6 Os 2.73
Ag 0.6667 0.3333 0.4624  6 Ag 2.73, 3 Cr 2.85, 3 Os 3.00

---

Record 5
First-principles (PBE) data for CrAgOs3 after structural relaxation, as listed in Alexandria via LeMat-Bulk.

## Properties
E_tot: -7.49 eV per atom
ΔE to the lowest computed polymorph: 0 meV/atom

a b c (Å): 4.4603 4.4603 4.4603
angles (deg): 90.00 90.00 90.00
Closest atoms and distances in Å follow each position.
Sites, in units of the cell vectors:
Cr 0.0000 0.0000 0.0000  6 Os 2.23
Os 0.0000 0.5000 0.0000  2 Cr 2.23
Os 0.0000 0.0000 0.5000  2 Cr 2.23
Os 0.5000 0.0000 0.0000  2 Cr 2.23
Ag 0.5000 0.5000 0.5000  12 Os 3.15

---

Record 6
First-principles (PBE) data for CrAgOs after structural relaxation, as listed in Alexandria via LeMat-Bulk.

## Properties
E_tot: -7.39 eV per atom
ΔE to the lowest computed polymorph: 233 meV/atom

a b c (Å): 5.1251 5.1251 5.1251
angles (deg): 147.79 140.40 51.93
Closest atoms and distances in Å follow each position.
Sites, in units of the cell vectors:
Ag 0.9971 0.9971 0.0000  5 Os 2.82-2.87, 5 Cr 2.82-2.90, 2 Ag 2.84
Cr 0.3114 0.3114 0.0000  4 Os 2.50
Os 0.6915 0.6915 0.0000  4 Cr 2.50

---

Record 7
First-principles (PBE) data for CrAgOs4 after structural relaxation, as listed in Alexandria via LeMat-Bulk.

## Properties
E_tot: -8.78 eV per atom

a b c (Å): 5.1582 5.1582 5.1582
angles (deg): 60.00 60.00 60.00
Closest atoms and distances in Å follow each position.
Sites, in units of the cell vectors:
Cr 0.0000 0.0000 0.0000  12 Os 3.02, 4 Ag 3.16
Ag 0.7500 0.7500 0.7500  12 Os 3.02, 4 Cr 3.16
Os 0.8758 0.3747 0.3747  6 Os 2.57-2.58
Os 0.3747 0.3747 0.8758  6 Os 2.57-2.58
Os 0.3747 0.8758 0.3747  6 Os 2.57-2.58
Os 0.3747 0.3747 0.3747  6 Os 2.57-2.58

---

Record 8
First-principles (PBE) data for CrAgOs after structural relaxation, as listed in Alexandria via LeMat-Bulk.

## Properties
E_tot: -7.57 eV per atom
ΔE to the lowest computed polymorph: 59 meV/atom

a b c (Å): 4.6820 2.7328 13.8057
angles (deg): 90.00 95.19 90.00
Closest atoms and distances in Å follow each position.
Sites, in units of the cell vectors:
Cr 0.1399 0.0000 0.4331  1 Cr 2.36, 2 Os 2.50
Cr 0.8601 0.0000 0.5669  1 Cr 2.36, 2 Os 2.50
Cr 0.1399 0.5000 0.9331  1 Cr 2.36, 2 Os 2.50
Cr 0.8601 0.5000 0.0669  1 Cr 2.36, 2 Os 2.50
Os 0.6532 0.0000 0.9261  6 Cr 2.50-2.77, 3 Os 2.60-2.73
Os 0.3468 0.0000 0.0739  6 Cr 2.50-2.77, 3 Os 2.60-2.73
Os 0.6532 0.5000 0.4261  6 Cr 2.50-2.77, 3 Os 2.60-2.73
Os 0.3468 0.5000 0.5739  6 Cr 2.50-2.77, 3 Os 2.60-2.73
Ag 0.2499 0.0000 0.7566  6 Ag 2.70-2.73, 3 Os 2.87-2.94, 2 Cr 2.88
Ag 0.7500 0.0000 0.2434  6 Ag 2.70-2.73, 3 Os 2.87-2.94, 2 Cr 2.88
Ag 0.2499 0.5000 0.2566  6 Ag 2.70-2.73, 3 Os 2.87-2.94, 2 Cr 2.88
Ag 0.7500 0.5000 0.7434  6 Ag 2.70-2.73, 3 Os 2.87-2.94, 2 Cr 2.88

---

Record 9
First-principles (PBE) data for CrAgOs after structural relaxation, as listed in Alexandria via LeMat-Bulk.

## Properties
E_tot: -7.37 eV per atom
ΔE to the lowest computed polymorph: 253 meV/atom

a b c (Å): 7.3678 7.1610 2.6589
angles (deg): 83.87 75.10 21.03
Closest atoms and distances in Å follow each position.
Sites, in units of the cell vectors:
Ag 0.9958 0.9958 0.0042  6 Ag 2.66-2.85, 2 Cr 2.81, 2 Os 2.96
Cr 0.3234 0.3234 0.6766  2 Os 2.46, 4 Cr 2.66
Os 0.6808 0.6808 0.3192  2 Cr 2.46, 4 Os 2.66

---

Record 10
First-principles (PBE) data for CrAgOs after structural relaxation, as listed in Alexandria via LeMat-Bulk.

## Properties
E_tot: -7.63 eV per atom
ΔE to the lowest computed polymorph: 0 meV/atom

a b c (Å): 2.8721 2.8721 10.7501
angles (deg): 90.00 90.00 90.00
Closest atoms and distances in Å follow each position.
Sites, in units of the cell vectors:
Cr 0.0000 0.5000 0.5684  4 Os 2.48, 4 Cr 2.51
Cr 0.5000 0.0000 0.4316  4 Os 2.48, 4 Cr 2.51
Os 0.0000 0.5000 0.2997  4 Cr 2.48
Os 0.5000 0.0000 0.7003  4 Cr 2.48
Ag 0.0000 0.5000 0.9013  8 Ag 2.87-2.94, 4 Os 2.97
Ag 0.5000 0.0000 0.0987  8 Ag 2.87-2.94, 4 Os 2.97

---

Record 11
First-principles (PBE) data for CrAgOs after structural relaxation, as listed in Alexandria via LeMat-Bulk.

## Properties
E_tot: -7.48 eV per atom
ΔE to the lowest computed polymorph: 144 meV/atom

a b c (Å): 5.9304 5.9304 5.9304
angles (deg): 152.24 152.24 39.66
Closest atoms and distances in Å follow each position.
Sites, in units of the cell vectors:
Ag 0.9961 0.9961 0.0000  4 Ag 2.85, 4 Cr 2.86, 4 Os 2.96
Cr 0.3134 0.3134 0.0000  4 Os 2.43
Os 0.6906 0.6906 0.0000  4 Cr 2.43

---

Record 12
First-principles (PBE) data for CrAgOs after structural relaxation, as listed in Alexandria via LeMat-Bulk.

## Properties
E_tot: -6.99 eV per atom
ΔE to the lowest computed polymorph: 642 meV/atom

a b c (Å): 4.1397 4.1397 4.1397
angles (deg): 60.00 60.00 60.00
Closest atoms and distances in Å follow each position.
Sites, in units of the cell vectors:
Ag 0.5000 0.5000 0.5000  4 Cr 2.54
Cr 0.7500 0.7500 0.7500  4 Os 2.54, 4 Ag 2.54
Os 0.0000 0.0000 0.0000  4 Cr 2.54

---

Record 13
First-principles (PBE) data for CrAgOs after structural relaxation, as listed in Alexandria via LeMat-Bulk.

## Properties
E_tot: -7.56 eV per atom
ΔE to the lowest computed polymorph: 64 meV/atom

a b c (Å): 4.6728 2.7259 13.9029
angles (deg): 90.00 96.15 90.00
Closest atoms and distances in Å follow each position.
Sites, in units of the cell vectors:
Cr 0.0872 0.0000 0.2499  1 Cr 2.39, 4 Os 2.50-2.65
Cr 0.0872 0.5000 0.7499  1 Cr 2.39, 4 Os 2.50-2.65
Cr 0.7217 0.0000 0.1154  1 Cr 2.39, 4 Os 2.50-2.68
Cr 0.7217 0.5000 0.6154  1 Cr 2.39, 4 Os 2.50-2.68
Os 0.6024 0.0000 0.7565  6 Cr 2.50-2.76, 3 Os 2.59-2.73
Os 0.6024 0.5000 0.2565  6 Cr 2.50-2.76, 3 Os 2.59-2.73
Os 0.2123 0.0000 0.6093  6 Cr 2.50-2.74, 3 Os 2.59-2.73
Os 0.2123 0.5000 0.1093  6 Cr 2.50-2.74, 3 Os 2.59-2.73
Ag 0.8115 0.0000 0.4363  6 Ag 2.71-2.73, 3 Os 2.89-2.92, 3 Cr 2.91-3.02
Ag 0.8115 0.5000 0.9363  6 Ag 2.71-2.73, 3 Os 2.89-2.92, 3 Cr 2.91-3.02
Ag 0.3085 0.0000 0.9268  6 Ag 2.71-2.73, 3 Os 2.86-2.96, 2 Cr 2.90
Ag 0.3085 0.5000 0.4268  6 Ag 2.71-2.73, 3 Os 2.86-2.96, 2 Cr 2.90

---

Record 14
First-principles (PBE) data for CrAgOs after structural relaxation, as listed in Alexandria via LeMat-Bulk.

## Properties
E_tot: -7.57 eV per atom
ΔE to the lowest computed polymorph: 59 meV/atom

a b c (Å): 4.6906 2.7315 7.0481
angles (deg): 90.00 102.77 90.00
Closest atoms and distances in Å follow each position.
Sites, in units of the cell vectors:
Cr 0.7046 0.5000 0.6347  1 Cr 2.38, 4 Os 2.50-2.67
Cr 0.2954 0.5000 0.3653  1 Cr 2.38, 4 Os 2.50-2.67
Os 0.2203 0.0000 0.6472  6 Cr 2.50-2.76, 3 Os 2.58-2.73
Os 0.7797 0.0000 0.3528  6 Cr 2.50-2.76, 3 Os 2.58-2.73
Ag 0.0000 0.0000 0.0000  6 Ag 2.71-2.73, 2 Os 2.90, 4 Cr 2.97
Ag 0.5000 0.5000 0.0000  6 Ag 2.71-2.73, 4 Os 2.89, 2 Cr 2.94